## Ba4Hg5Pd2 (GGA-PBE)

Data for a relaxed Ba4Hg5Pd2 crystal.

Cell lengths 4.5379, 8.1246, 9.9624 Å; angles 88.40, 90.00, 90.00 degrees
With the nearest neighbours (Å) after each atom.
Atoms (fractional coordinates):
1 Ba 0.5000 0.7667 0.6038  4 Pd 3.33-3.49, 6 Hg 3.63-3.66
2 Ba 0.5000 0.2130 0.8501  2 Pd 3.41, 8 Hg 3.48-3.62
3 Ba 0.5000 0.2334 0.3962  4 Pd 3.33-3.49, 6 Hg 3.63-3.66
4 Ba 0.5000 0.7870 0.1499  2 Pd 3.41, 8 Hg 3.48-3.62
5 Hg 0.0000 0.5837 0.3611  1 Pd 2.86, 1 Hg 3.05
6 Hg 0.0000 0.1293 0.1272  1 Pd 2.87
7 Hg 0.0000 0.5000 0.0000  2 Hg 3.23, 4 Ba 3.61
8 Hg 0.0000 0.8707 0.8728  1 Pd 2.87
9 Hg 0.0000 0.4163 0.6389  1 Pd 2.86, 1 Hg 3.05
10 Pd 0.0000 0.0649 0.6278  1 Pd 2.78, 2 Hg 2.86-2.87
11 Pd 0.0000 0.9351 0.3722  1 Pd 2.78, 2 Hg 2.86-2.87

Values from the calculation:
size of the total moment = 0.0 Bohr magnetons per cell
VASP energy = -2.2949 eV/atom
D(E_F) = 7.73 states/eV per cell